Entry 1:
! Ti3AlS, relaxed, DFT PBE-GGA; values from VASP
&SYSTEM
  ibrav = 0, nat = 10, ntyp = 3
/
ATOMIC_SPECIES
Ti 47.87 Ti.upf
Al 26.98 Al.upf
S 32.06 S.upf
CELL_PARAMETERS angstrom
5.767 -2.293 0.000
5.767 2.293 0.000
-0.898 0.000 6.702
ATOMIC_POSITIONS angstrom
Ti 0.163 0.000 1.987
Ti 1.025 0.000 6.497
Ti 2.971 0.000 2.298
Ti 7.664 0.000 4.404
Ti 9.610 0.000 0.205
Ti 10.472 0.000 4.715
Al 3.728 0.000 5.737
Al 6.907 0.000 0.965
S 1.242 0.000 4.090
S 9.394 0.000 2.612
! energy relative to the lowest polymorph listed for this composition = 0 meV/atom
! E_form (uncorrected) = -2.34 eV/f.u.
! total magnetic moment = 0.00 μB per formula unit

Entry 2:
! TiAlS3, relaxed, DFT PBE-GGA; values from VASP
&SYSTEM
  ibrav = 0, nat = 5, ntyp = 3
/
ATOMIC_SPECIES
Ti 47.87 Ti.upf
Al 26.98 Al.upf
S 32.06 S.upf
CELL_PARAMETERS angstrom
4.541 0.000 0.000
0.000 4.541 0.000
0.000 0.000 4.541
ATOMIC_POSITIONS angstrom
Ti 0.000 0.000 0.000
Al 2.270 2.270 2.270
S 0.000 2.270 2.270
S 2.270 0.000 2.270
S 2.270 2.270 0.000
! energy relative to the lowest polymorph listed for this composition = 990 meV/atom
! E_form (uncorrected) = -0.74 eV/f.u.
! total magnetic moment = 0.10 μB per formula unit

Entry 3:
! TiAl3S6, relaxed, DFT PBE-GGA; values from VASP
&SYSTEM
  ibrav = 0, nat = 20, ntyp = 3
/
ATOMIC_SPECIES
Ti 47.87 Ti.upf
Al 26.98 Al.upf
S 32.06 S.upf
CELL_PARAMETERS angstrom
5.099 2.944 4.170
-5.099 2.944 4.170
0.000 -5.888 4.170
ATOMIC_POSITIONS angstrom
Ti 0.000 0.000 0.000
Ti 0.000 0.000 6.254
Al -2.551 0.495 3.671
Al 0.847 -2.457 3.671
Al -1.704 -1.962 8.838
Al 1.704 1.962 3.671
Al -0.847 2.457 8.838
Al 2.551 -0.495 8.838
S -3.083 -3.113 6.997
S -4.238 1.113 5.511
S -1.060 -1.542 4.678
S 1.155 -4.226 5.511
S -0.806 1.689 4.678
S -1.865 0.147 7.831
S 1.865 -0.147 4.678
S 0.806 -1.689 7.831
S -1.155 4.226 6.997
S 1.060 1.542 7.831
S 4.238 -1.113 6.997
S 3.083 3.113 5.511
! E_form (uncorrected) = -9.36 eV/f.u.
! total magnetic moment = 0.10 μB per formula unit

Entry 4:
! TiAlS3, relaxed, DFT PBE-GGA; values from VASP
&SYSTEM
  ibrav = 0, nat = 10, ntyp = 3
/
ATOMIC_SPECIES
Ti 47.87 Ti.upf
Al 26.98 Al.upf
S 32.06 S.upf
CELL_PARAMETERS angstrom
1.728 -9.378 0.000
1.728 9.378 0.000
0.000 0.000 6.291
ATOMIC_POSITIONS angstrom
Ti 1.728 6.102 3.145
Ti 1.728 -6.102 0.000
Al 1.728 2.906 3.091
Al 1.728 -2.906 6.237
S 1.728 7.446 1.096
S 1.728 4.732 5.237
S 1.728 1.908 1.019
S 1.728 -1.908 4.165
S 1.728 -4.732 2.092
S 1.728 -7.446 4.241
! energy relative to the lowest polymorph listed for this composition = 0 meV/atom
! E_form (uncorrected) = -5.69 eV/f.u.
! total magnetic moment = 0.00 μB per formula unit

Entry 5:
! Ti2AlS2, relaxed, DFT PBE-GGA; values from VASP
&SYSTEM
  ibrav = 0, nat = 10, ntyp = 3
/
ATOMIC_SPECIES
Ti 47.87 Ti.upf
Al 26.98 Al.upf
S 32.06 S.upf
CELL_PARAMETERS angstrom
7.064 0.000 0.000
0.000 7.064 0.000
0.000 0.000 3.117
ATOMIC_POSITIONS angstrom
Ti 1.040 2.492 0.000
Ti 2.492 6.024 0.000
Ti 4.572 1.040 0.000
Ti 6.024 4.572 0.000
Al 0.000 0.000 0.000
Al 3.532 3.532 0.000
S 1.008 4.540 1.558
S 2.524 1.008 1.558
S 4.540 6.056 1.558
S 6.056 2.524 1.558
! energy relative to the lowest polymorph listed for this composition = 0 meV/atom
! E_form (uncorrected) = -3.47 eV/f.u.
! total magnetic moment = 0.00 μB per formula unit

Entry 6:
! Ti3AlS4, relaxed, DFT PBE-GGA; values from VASP
&SYSTEM
  ibrav = 0, nat = 16, ntyp = 3
/
ATOMIC_SPECIES
Ti 47.87 Ti.upf
Al 26.98 Al.upf
S 32.06 S.upf
CELL_PARAMETERS angstrom
7.541 0.000 0.000
0.000 6.634 0.000
0.000 0.000 6.159
ATOMIC_POSITIONS angstrom
Ti 0.000 1.644 0.000
Ti 1.641 5.906 0.422
Ti 2.130 0.728 3.501
Ti 3.770 4.990 3.079
Ti 5.411 0.728 3.501
Ti 5.900 5.906 0.422
Al 0.000 4.193 3.156
Al 3.770 2.441 0.077
S 0.000 1.972 3.837
S 0.000 4.135 0.912
S 1.719 5.158 4.272
S 2.051 1.476 1.193
S 3.770 2.499 3.991
S 3.770 4.662 0.758
S 5.489 1.476 1.193
S 5.822 5.158 4.272
! E_form (uncorrected) = -7.26 eV/f.u.
! total magnetic moment = 0.00 μB per formula unit

Entry 7:
! TiAl2S2, relaxed, DFT PBE-GGA; values from VASP
&SYSTEM
  ibrav = 0, nat = 5, ntyp = 3
/
ATOMIC_SPECIES
Ti 47.87 Ti.upf
Al 26.98 Al.upf
S 32.06 S.upf
CELL_PARAMETERS angstrom
-2.378 2.378 3.881
2.378 -2.378 3.881
2.378 2.378 -3.881
ATOMIC_POSITIONS angstrom
Ti 0.000 0.000 0.000
Al 0.000 0.000 2.667
Al 0.000 0.000 5.095
S 2.378 0.000 1.941
S 0.000 2.378 1.941
! energy relative to the lowest polymorph listed for this composition = 0 meV/atom
! E_form (uncorrected) = -0.71 eV/f.u.
! total magnetic moment = 0.68 μB per formula unit

Entry 8:
! Ti2AlS, relaxed, DFT PBE-GGA; values from VASP
&SYSTEM
  ibrav = 0, nat = 4, ntyp = 3
/
ATOMIC_SPECIES
Ti 47.87 Ti.upf
Al 26.98 Al.upf
S 32.06 S.upf
CELL_PARAMETERS angstrom
0.000 3.165 3.165
3.165 0.000 3.165
3.165 3.165 0.000
ATOMIC_POSITIONS angstrom
Ti 1.582 1.582 1.582
Ti 4.747 4.747 4.747
Al 0.000 0.000 0.000
S 3.165 3.165 3.165
! energy relative to the lowest polymorph listed for this composition = 595 meV/atom
! E_form (uncorrected) = -0.73 eV/f.u.
! total magnetic moment = 1.11 μB per formula unit

Entry 9:
! Ti2AlS, relaxed, DFT PBE-GGA; values from VASP
&SYSTEM
  ibrav = 0, nat = 8, ntyp = 3
/
ATOMIC_SPECIES
Ti 47.87 Ti.upf
Al 26.98 Al.upf
S 32.06 S.upf
CELL_PARAMETERS angstrom
-3.415 3.415 2.861
3.415 -3.415 2.861
3.415 3.415 -2.861
ATOMIC_POSITIONS angstrom
Ti 5.123 1.448 -0.715
Ti 1.448 1.708 0.715
Ti -1.708 1.967 2.146
Ti 1.967 1.708 3.576
Al 3.415 0.000 1.431
Al 0.000 0.000 2.861
S 0.000 0.000 0.000
S 0.000 3.415 1.431
! energy relative to the lowest polymorph listed for this composition = 351 meV/atom
! E_form (uncorrected) = -1.71 eV/f.u.
! total magnetic moment = 0.00 μB per formula unit

Entry 10:
! Ti2AlS2, relaxed, DFT PBE-GGA; values from VASP
&SYSTEM
  ibrav = 0, nat = 5, ntyp = 3
/
ATOMIC_SPECIES
Ti 47.87 Ti.upf
Al 26.98 Al.upf
S 32.06 S.upf
CELL_PARAMETERS angstrom
-2.148 2.148 5.052
2.148 -2.148 5.052
2.148 2.148 -5.052
ATOMIC_POSITIONS angstrom
Ti 0.000 0.000 1.357
Ti 0.000 0.000 8.747
Al 0.000 0.000 5.052
S 2.148 0.000 2.526
S 0.000 2.148 2.526
! energy relative to the lowest polymorph listed for this composition = 239 meV/atom
! E_form (uncorrected) = -2.28 eV/f.u.
! total magnetic moment = 0.00 μB per formula unit

Entry 11:
! Ti2AlS, relaxed, DFT PBE-GGA; values from VASP
&SYSTEM
  ibrav = 0, nat = 4, ntyp = 3
/
ATOMIC_SPECIES
Ti 47.87 Ti.upf
Al 26.98 Al.upf
S 32.06 S.upf
CELL_PARAMETERS angstrom
1.635 0.944 7.097
-1.635 0.944 7.097
0.000 -1.888 7.097
ATOMIC_POSITIONS angstrom
Ti 0.000 0.000 0.000
Ti 0.000 0.000 4.216
Al 0.000 0.000 9.182
S 0.000 0.000 12.754
! energy relative to the lowest polymorph listed for this composition = 0 meV/atom
! E_form (uncorrected) = -3.11 eV/f.u.
! total magnetic moment = 0.00 μB per formula unit

Entry 12:
! TiAlS3, relaxed, DFT PBE-GGA; values from VASP
&SYSTEM
  ibrav = 0, nat = 5, ntyp = 3
/
ATOMIC_SPECIES
Ti 47.87 Ti.upf
Al 26.98 Al.upf
S 32.06 S.upf
CELL_PARAMETERS angstrom
4.716 0.000 0.000
0.000 4.716 0.000
0.000 0.000 4.716
ATOMIC_POSITIONS angstrom
Ti 0.000 0.000 0.000
Al 2.358 2.358 2.358
S 0.000 0.000 2.358
S 0.000 2.358 0.000
S 2.358 0.000 0.000
! energy relative to the lowest polymorph listed for this composition = 731 meV/atom
! E_form (uncorrected) = -2.03 eV/f.u.
! total magnetic moment = 0.00 μB per formula unit